# 1
# Ir4I PBE optimized geometry
data_Ir4I
_chemical_formula_sum 'Ir4 I1'
_space_group_name_H-M_alt 'P m -3 m'
_space_group_IT_number 221
_space_group_name_Hall '-P 4 2 3'
_cell_length_a 4.789
_cell_length_b 4.789
_cell_length_c 4.789
_cell_angle_alpha 90.00
_cell_angle_beta 90.00
_cell_angle_gamma 90.00
loop_
_atom_site_label
_atom_site_type_symbol
_atom_site_fract_x
_atom_site_fract_y
_atom_site_fract_z
Ir1 Ir 0.000 0.000 0.000
Ir2 Ir 0.000 0.500 0.500
I1 I 0.500 0.500 0.500
# - V: 21.96 A^3/atom
# - M_tot: 3.1 Bohr magnetons per cell
# - Formation energy without anion corrections: 2540.2 meV/atom

***

# 2
# IrI3 PBE optimized geometry
data_IrI3
_chemical_formula_sum 'Ir4 I12'
_space_group_name_H-M_alt 'I -4 2 d'
_space_group_IT_number 122
_space_group_name_Hall 'I -4 2bw'
_cell_length_a 7.786
_cell_length_b 7.786
_cell_length_c 9.948
_cell_angle_alpha 90.00
_cell_angle_beta 90.00
_cell_angle_gamma 90.00
loop_
_atom_site_label
_atom_site_type_symbol
_atom_site_fract_x
_atom_site_fract_y
_atom_site_fract_z
Ir1 Ir 0.000 0.000 0.000
I1 I 0.000 0.000 0.500
I2 I 0.145 0.750 0.125
# - V: 37.70 A^3/atom
# - M_tot: 0.0 Bohr magnetons per cell
# - Formation energy without anion corrections: 458.4 meV/atom

***

# 3
# IrI PBE optimized geometry
data_IrI
_chemical_formula_sum 'Ir8 I8'
_space_group_name_H-M_alt 'I -4 3 m'
_space_group_IT_number 217
_space_group_name_Hall 'I -4 2 3'
_cell_length_a 8.314
_cell_length_b 8.314
_cell_length_c 8.314
_cell_angle_alpha 90.00
_cell_angle_beta 90.00
_cell_angle_gamma 90.00
loop_
_atom_site_label
_atom_site_type_symbol
_atom_site_fract_x
_atom_site_fract_y
_atom_site_fract_z
Ir1 Ir 0.111 0.111 0.889
I1 I 0.207 0.207 0.207
# - V: 35.92 A^3/atom
# - M_tot: 0.0 Bohr magnetons per cell
# - Formation energy without anion corrections: 860.8 meV/atom

***

Q: Look up the V of the first one.
A: 21.96 A^3/atom